Record 1
The following is a DFT calculation (PBE) of PmThPSe after structural relaxation.

The magnetization comes out at 0.00 μB per formula unit. The calculation puts the total energy at -6.915 eV per atom. As for the raw formation energy: -1649 meV per atom. The calculation puts the density of states at the Fermi level at 0.274 states/eV/atom.

Unit cell a=4.0495 b=4.0495 c=21.9180 alpha=90.00 beta=90.00 gamma=120.00
With the nearest neighbours (Å) after each atom.
Space group R3m (No. 160, hexagonal axes)
One atom of each set of equivalent atoms:
Pm 0.0000 0.0000 0.0000  3 P 2.83, 3 Se 3.08
Th 0.0000 0.0000 0.1843  3 P 2.88, 3 Se 3.10
P 0.0000 0.0000 0.5941  3 Pm 2.83, 3 Th 2.88
Se 0.0000 0.0000 0.4248  3 Pm 3.08, 3 Th 3.10

---

Record 2
The following is a DFT calculation (PBE) of Pm4TlPSe2 after structural relaxation.

The magnetization comes out at 0.00 μB per formula unit. The calculation puts the total energy at -5.598 eV per atom. As for the raw formation energy: -1380 meV per atom. The calculation puts the density of states at the Fermi level at 0.404 states/eV/atom.

Unit cell a=7.4105 b=4.1884 c=7.4567 alpha=90.00 beta=108.75 gamma=90.00
With the nearest neighbours (Å) after each atom.
Space group P2/m (No. 10)
One atom of each set of equivalent atoms:
Pm 0.2394 0.0000 0.2335  2 P 2.93, 3 Se 2.99-3.10, 1 Tl 3.06
Pm 0.2557 0.5000 0.7652  3 Se 2.95-3.08, 1 P 2.96, 2 Tl 3.08
Tl 0.0000 0.0000 0.5000  6 Pm 3.06-3.08
P 0.0000 0.5000 0.0000  6 Pm 2.93-2.96
Se 0.5000 0.0000 0.0000  6 Pm 2.95-2.99
Se 0.5000 0.5000 0.5000  6 Pm 3.08-3.10

---

Record 3
The following is a DFT calculation (PBE) of Pm4ZnPSe2 after structural relaxation.

The magnetization comes out at 0.00 μB per formula unit. The calculation puts the total energy at -5.459 eV per atom. As for the raw formation energy: -1378 meV per atom. The calculation puts the density of states at the Fermi level at 0.730 states/eV/atom.

Unit cell a=7.2711 b=4.1443 c=7.3248 alpha=90.00 beta=108.90 gamma=90.00
With the nearest neighbours (Å) after each atom.
Space group P2/m (No. 10)
One atom of each set of equivalent atoms:
Pm 0.2374 0.0000 0.2384  2 P 2.89, 3 Se 2.97-3.04, 1 Zn 2.98
Pm 0.2430 0.5000 0.7508  1 P 2.92, 3 Se 2.95-3.02, 2 Zn 2.98
Zn 0.5000 0.0000 0.0000  6 Pm 2.98
P 0.0000 0.5000 0.0000  6 Pm 2.89-2.92
Se 0.0000 0.0000 0.5000  6 Pm 2.95-2.97
Se 0.5000 0.5000 0.5000  6 Pm 3.02-3.04

---

Record 4
The following is a DFT calculation (PBE) of Pm6SiP4 after structural relaxation.

The magnetization comes out at 0.50 μB per formula unit. The calculation puts the total energy at -6.343 eV per atom. As for the raw formation energy: -1292 meV per atom. The calculation puts the density of states at the Fermi level at 0.473 states/eV/atom.

Unit cell a=4.1335 b=13.5789 c=20.6539 alpha=90.00 beta=90.00 gamma=90.00
With the nearest neighbours (Å) after each atom.
Space group Cmcm (No. 63)
One atom of each set of equivalent atoms:
Pm 0.0000 0.0000 0.0000  6 P 2.92
Pm 0.0000 0.1861 0.2500  2 P 2.83, 2 Si 2.93
Pm 0.0000 0.2736 0.5831  5 P 2.86-2.92
Pm 0.0000 0.4543 0.1630  3 P 2.78-2.87
Si 0.0000 0.1607 0.7500  6 Pm 2.93-3.15
P 0.0000 0.0907 0.1283  6 Pm 2.83-2.92
P 0.0000 0.3626 0.0425  6 Pm 2.78-2.92

---

Record 5
The following is a DFT calculation (PBE) of Pm3SiP after structural relaxation.

The magnetization comes out at 0.00 μB per formula unit. The calculation puts the total energy at -5.457 eV per atom. As for the raw formation energy: -440 meV per atom. The calculation puts the density of states at the Fermi level at 0.734 states/eV/atom.

Unit cell a=5.3401 b=5.3401 c=5.3401 alpha=90.00 beta=90.00 gamma=90.00
With the nearest neighbours (Å) after each atom.
Space group Pm-3m (No. 221)
One atom of each set of equivalent atoms:
Pm 0.0000 0.0000 0.5000  2 P 2.67
Si 0.5000 0.5000 0.5000  12 Pm 3.78
P 0.0000 0.0000 0.0000  6 Pm 2.67

---

Record 6
The following is a DFT calculation (PBE) of PmSiP after structural relaxation.

The magnetization comes out at 0.00 μB per formula unit. The calculation puts the total energy at -5.866 eV per atom. As for the raw formation energy: -671 meV per atom. The calculation puts the density of states at the Fermi level at 0.394 states/eV/atom.

Unit cell a=4.1673 b=4.1673 c=4.0250 alpha=90.00 beta=90.00 gamma=120.00
With the nearest neighbours (Å) after each atom.
Space group P-6m2 (No. 187)
One atom of each set of equivalent atoms:
Pm 0.0000 0.0000 0.0000  6 Si 3.14, 6 P 3.14
Si 0.6667 0.3333 0.5000  3 P 2.41
P 0.3333 0.6667 0.5000  3 Si 2.41

---

Record 7
The following is a DFT calculation (PBE) of PmSiP2 after structural relaxation.

The magnetization comes out at 0.00 μB per formula unit. The calculation puts the total energy at -5.584 eV per atom. As for the raw formation energy: -336 meV per atom. The calculation puts the density of states at the Fermi level at 0.485 states/eV/atom.

Unit cell a=3.6613 b=3.6613 c=5.6127 alpha=90.00 beta=90.00 gamma=90.00
With the nearest neighbours (Å) after each atom.
Space group P4/mmm (No. 123)
One atom of each set of equivalent atoms:
Pm 0.0000 0.0000 0.0000  2 Si 2.81, 8 P 3.07
Si 0.0000 0.0000 0.5000  2 Pm 2.81, 8 P 2.84
P 0.5000 0.5000 0.2939  1 P 2.31

---

Record 8
The following is a DFT calculation (PBE) of PmSiP2 after structural relaxation.

The magnetization comes out at 0.00 μB per formula unit. The calculation puts the total energy at -5.400 eV per atom. As for the raw formation energy: -151 meV per atom. The calculation puts the density of states at the Fermi level at 0.628 states/eV/atom.

Unit cell a=4.3702 b=4.3702 c=21.1636 alpha=90.00 beta=90.00 gamma=120.00
With the nearest neighbours (Å) after each atom.
Space group R-3m (No. 166, hexagonal axes)
One atom of each set of equivalent atoms:
Pm 0.0000 0.0000 0.0000  6 P 2.90
Si 0.0000 0.0000 0.5000  2 P 2.11
P 0.0000 0.0000 0.4005  1 Si 2.11

---

Record 9
The following is a DFT calculation (PBE) of PmSiP2 after structural relaxation.

The magnetization comes out at 0.00 μB per formula unit. The calculation puts the total energy at -5.554 eV per atom. As for the raw formation energy: -306 meV per atom. The calculation puts the density of states at the Fermi level at 0.596 states/eV/atom.

Unit cell a=4.4590 b=4.4590 c=3.7971 alpha=90.00 beta=90.00 gamma=90.00
With the nearest neighbours (Å) after each atom.
Space group P4/mmm (No. 123)
One atom of each set of equivalent atoms:
Pm 0.0000 0.0000 0.0000  8 P 2.93, 4 Si 3.15
Si 0.5000 0.5000 0.0000  8 P 2.93, 4 Pm 3.15
P 0.0000 0.5000 0.5000  4 Si 2.93, 4 Pm 2.93, 4 P 3.15

---

Record 10
The following is a DFT calculation (PBE) of PmSiP after structural relaxation.

The magnetization comes out at 0.00 μB per formula unit. The calculation puts the total energy at -5.956 eV per atom. As for the raw formation energy: -761 meV per atom. The calculation puts the density of states at the Fermi level at 0.289 states/eV/atom.

Unit cell a=5.8400 b=5.7413 c=7.9998 alpha=90.00 beta=91.95 gamma=90.00
With the nearest neighbours (Å) after each atom.
Space group C2/m (No. 12)
One atom of each set of equivalent atoms:
Pm 0.2470 0.0000 0.1864  1 Si 2.87, 5 P 2.87-2.93
Si 0.2121 0.0000 0.5431  1 P 2.25
P 0.2481 0.5000 0.1760  1 Si 2.25

---

Record 11
The following is a DFT calculation (PBE) of Pm8SiTe4P3 after structural relaxation.

The magnetization comes out at 0.00 μB per formula unit. The calculation puts the total energy at -5.989 eV per atom. As for the raw formation energy: -1475 meV per atom. The calculation puts the density of states at the Fermi level at 0.334 states/eV/atom.

Unit cell a=8.5138 b=8.5138 c=21.7681 alpha=90.00 beta=90.00 gamma=120.00
With the nearest neighbours (Å) after each atom.
Space group R-3m (No. 166, hexagonal axes)
One atom of each set of equivalent atoms:
Pm 0.0000 0.0000 0.2378  3 P 2.90, 3 Te 3.22
Pm 0.0009 0.5004 0.7611  2 P 2.92, 1 Si 2.92, 3 Te 3.20-3.21
Si 0.0000 0.0000 0.5000  6 Pm 2.92
Te 0.0000 0.0000 0.0000  6 Pm 3.20
Te 0.0000 0.5000 0.0000  6 Pm 3.21-3.22
P 0.0000 0.5000 0.5000  6 Pm 2.90-2.92

---

Record 12
The following is a DFT calculation (PBE) of Pm6Si2Te3P after structural relaxation.

The magnetization comes out at 0.00 μB per formula unit. The calculation puts the total energy at -5.798 eV per atom. As for the raw formation energy: -1283 meV per atom. The calculation puts the density of states at the Fermi level at 0.217 states/eV/atom.

Unit cell a=19.0955 b=4.2992 c=8.7997 alpha=90.00 beta=105.07 gamma=90.00
With the nearest neighbours (Å) after each atom.
Space group C2/m (No. 12)
One atom of each set of equivalent atoms:
Pm 0.0070 0.0000 0.2311  1 Si 2.93, 2 P 2.94, 3 Te 3.21-3.23
Pm 0.1594 0.5000 0.0990  1 P 2.94, 2 Si 2.95, 3 Te 3.20-3.23
Pm 0.1726 0.5000 0.5676  3 Si 2.97-2.98, 3 Te 3.19-3.21
Si 0.1659 0.0000 0.3318  6 Pm 2.93-2.98
Te 0.0000 0.5000 0.5000  6 Pm 3.19-3.23
Te 0.1663 0.0000 0.8341  6 Pm 3.20-3.23
P 0.0000 0.5000 0.0000  6 Pm 2.94

---

Q: raw formation energy of number 3 (Pm4ZnPSe2)?
A: -1378 meV per atom